Record 1
Material: Zr2RuAu
Method: DFT, PBE-GGA
State: optimized geometry

Summary:
- Space-group type: Cm, No. 8
- DFT formation energy: -0.343 eV per atom

Structure (POSCAR):
```
Zr2RuAu
1.0
5.199 -1.819 0.000
5.199 1.819 0.000
-1.888 0.000 4.016
Zr Ru Au
2 1 1
direct
0.000 0.000 0.000 Zr
0.238 0.238 0.737 Zr
0.519 0.519 0.518 Ru
0.762 0.762 0.261 Au
```


Record 2
Material: ZrRu2Au
Method: DFT, PBE-GGA
State: optimized geometry

Summary:
- Space-group type: I-42d, No. 122
- DFT formation energy: 0.267 eV per atom

Structure (POSCAR):
```
ZrRu2Au
1.0
-2.000 2.000 9.368
2.000 -2.000 9.368
2.000 2.000 -9.368
Zr Ru Au
2 4 2
direct
0.000 0.000 0.000 Zr
0.750 0.250 0.500 Zr
0.192 0.625 0.067 Ru
0.375 0.442 0.567 Ru
0.558 0.125 0.933 Ru
0.875 0.808 0.433 Ru
0.250 0.750 0.500 Au
0.500 0.500 0.000 Au
```


Record 3
Material: ZrRu2Au
Method: DFT, PBE-GGA
State: optimized geometry

Summary:
- Space-group type: I4/mmm, No. 139
- DFT formation energy: -0.072 eV per atom

Structure (POSCAR):
```
ZrRu2Au
1.0
-2.062 2.062 3.905
2.062 -2.062 3.905
2.062 2.062 -3.905
Zr Ru Au
1 2 1
direct
0.000 0.000 0.000 Zr
0.250 0.750 0.500 Ru
0.750 0.250 0.500 Ru
0.500 0.500 0.000 Au
```


Record 4
Material: ZrRu2Au
Method: DFT, PBE-GGA
State: optimized geometry

Summary:
- Space-group type: R3m, No. 160
- DFT formation energy: 0.167 eV per atom

Structure (POSCAR):
```
ZrRu2Au
1.0
1.436 0.829 9.426
-1.436 0.829 9.426
0.000 -1.659 9.426
Zr Ru Au
1 2 1
direct
0.000 0.000 0.000 Zr
0.245 0.245 0.245 Ru
0.508 0.508 0.508 Ru
0.756 0.756 0.756 Au
```


Record 5
Material: Zr2RuAu
Method: DFT, PBE-GGA
State: optimized geometry

Summary:
- Space-group type: F-43m, No. 216
- DFT formation energy: -0.210 eV per atom

Structure (POSCAR):
```
Zr2RuAu
1.0
0.000 3.317 3.317
3.317 0.000 3.317
3.317 3.317 0.000
Zr Ru Au
2 1 1
direct
0.000 0.000 0.000 Zr
0.250 0.250 0.250 Zr
0.750 0.750 0.750 Ru
0.500 0.500 0.500 Au
```


Record 6
Material: ZrRu2Au
Method: DFT, PBE-GGA
State: optimized geometry

Summary:
- Space-group type: R-3m, No. 166
- DFT formation energy: 0.226 eV per atom

Structure (POSCAR):
```
ZrRu2Au
1.0
1.512 0.873 8.772
-1.512 0.873 8.772
0.000 -1.746 8.772
Zr Ru Au
1 2 1
direct
0.000 0.000 0.000 Zr
0.254 0.254 0.254 Ru
0.746 0.746 0.746 Ru
0.500 0.500 0.500 Au
```


Record 7
Material: ZrRu2Au
Method: DFT, PBE-GGA
State: optimized geometry

Summary:
- Space-group type: Pmmm, No. 47
- DFT formation energy: -0.031 eV per atom

Structure (POSCAR):
```
ZrRu2Au
1.0
3.321 0.000 0.000
0.000 3.379 0.000
0.000 0.000 5.986
Zr Ru Au
1 2 1
direct
0.000 0.000 0.000 Zr
0.500 0.500 0.252 Ru
0.500 0.500 0.748 Ru
0.000 0.000 0.500 Au
```


Record 8
Material: ZrRu2Au
Method: DFT, PBE-GGA
State: optimized geometry

Summary:
- Space-group type: I-4m2, No. 119
- DFT formation energy: -0.174 eV per atom

Structure (POSCAR):
```
ZrRu2Au
1.0
-2.000 2.000 4.111
2.000 -2.000 4.111
2.000 2.000 -4.111
Zr Ru Au
1 2 1
direct
0.000 0.000 0.000 Zr
0.250 0.750 0.500 Ru
0.500 0.500 0.000 Ru
0.750 0.250 0.500 Au
```


Record 9
Material: Zr2RuAu
Method: DFT, PBE-GGA
State: optimized geometry

Summary:
- Space-group type: I-42d, No. 122
- DFT formation energy: -0.103 eV per atom

Structure (POSCAR):
```
Zr2RuAu
1.0
-3.719 3.719 2.905
3.719 -3.719 2.905
3.719 3.719 -2.905
Zr Ru Au
4 2 2
direct
0.098 0.125 0.473 Zr
0.375 0.902 0.027 Zr
0.652 0.625 0.527 Zr
0.875 0.348 0.973 Zr
0.000 0.000 0.000 Ru
0.750 0.250 0.500 Ru
0.250 0.750 0.500 Au
0.500 0.500 0.000 Au
```


Record 10
Material: ZrRu2Au
Method: DFT, PBE-GGA
State: optimized geometry

Summary:
- Space-group type: P4/mmm, No. 123
- DFT formation energy: -0.251 eV per atom

Structure (POSCAR):
```
ZrRu2Au
1.0
4.077 0.000 0.000
0.000 4.077 0.000
0.000 0.000 3.935
Zr Ru Au
1 2 1
direct
0.000 0.000 0.000 Zr
0.000 0.500 0.500 Ru
0.500 0.000 0.500 Ru
0.500 0.500 0.000 Au
```


Record 11
Material: ZrRu2Au
Method: DFT, PBE-GGA
State: optimized geometry

Summary:
- Space-group type: Fm-3m, No. 225
- DFT formation energy: -0.028 eV per atom

Structure (POSCAR):
```
ZrRu2Au
1.0
0.000 3.222 3.222
3.222 0.000 3.222
3.222 3.222 0.000
Zr Ru Au
1 2 1
direct
0.000 0.000 0.000 Zr
0.250 0.250 0.250 Ru
0.750 0.750 0.750 Ru
0.500 0.500 0.500 Au
```


Record 12
Material: ZrRu4Au
Method: DFT, PBE-GGA
State: optimized geometry

Summary:
- Space-group type: F-43m, No. 216
- DFT formation energy: 0.052 eV per atom

Structure (POSCAR):
```
ZrRu4Au
1.0
0.000 3.657 3.657
3.657 0.000 3.657
3.657 3.657 0.000
Zr Ru Au
1 4 1
direct
0.000 0.000 0.000 Zr
0.376 0.376 0.376 Ru
0.376 0.376 0.873 Ru
0.376 0.873 0.376 Ru
0.873 0.376 0.376 Ru
0.750 0.750 0.750 Au
```